The following is a DFT calculation (GGA-PBE) of a relaxed structure of SrCaSc.

Energy above the lowest structure with this stoichiometry in eV/f.u.: 1.38
Space group: No. 216
Raw total energy in eV/cell: -7.899
Magnetization in Bohr magnetons per cell: 0.863
ΔH_f (0 K) in meV/atom: 705

POSCAR file:
```
SrCaSc
1.0
0.000 4.133 4.133
4.133 0.000 4.133
4.133 4.133 0.000
Sr Ca Sc
1 1 1
Cartesian
0.000 0.000 0.000
4.133 4.133 4.133
2.067 2.067 2.067
```

---

The following is a DFT calculation (GGA-PBE) of a relaxed structure of BaAcBiO.

Formation energy (no corrections) in meV per atom: -1884
Space group: No. 129
Raw total energy in eV/cell: -44.813
Magnetization in Bohr magnetons per cell: 0.000

POSCAR file:
```
BaAcBiO
1.0
5.081 0.000 0.000
0.000 5.081 0.000
0.000 0.000 9.981
Ba Ac Bi O
2 2 2 2
Cartesian
1.270 3.811 0.000
3.811 1.270 0.000
1.270 1.270 3.313
3.811 3.811 6.668
1.270 1.270 6.940
3.811 3.811 3.041
1.270 1.270 1.017
3.811 3.811 8.963
```

---

The following is a DFT calculation (GGA-PBE) of a relaxed structure of TmHfCd.

Energy above the lowest structure with this stoichiometry in eV/f.u.: 0.51
Space group: No. 139
Raw total energy in eV/cell: -30.266
Magnetization in Bohr magnetons per cell: 0.000
ΔH_f (0 K) in meV/atom: 69

POSCAR file:
```
TmHfCd
1.0
-1.858 1.858 11.794
1.858 -1.858 11.794
1.858 1.858 -11.794
Tm Hf Cd
2 2 2
Cartesian
0.000 0.000 3.343
0.000 0.000 20.245
0.000 0.000 6.551
0.000 0.000 17.038
0.000 0.000 10.393
0.000 0.000 13.195
```

---

The following is a DFT calculation (GGA-PBE) of a relaxed structure of MnZn2Os.

Energy above the lowest structure with this stoichiometry in eV/f.u.: 0.51
Space group: No. 6
Raw total energy in eV/cell: -22.303
Magnetization in Bohr magnetons per cell: 3.112
ΔH_f (0 K) in meV/atom: 161

POSCAR file:
```
MnZn2Os
1.0
2.653 0.000 0.000
0.000 4.146 0.000
-0.999 0.000 5.045
Mn Zn Os
1 2 1
Cartesian
0.000 0.000 0.000
0.419 0.000 2.512
0.227 2.073 3.852
1.701 2.073 1.338
```

---

The following is a DFT calculation (GGA-PBE) of a relaxed structure of Ce2InF8.

Formation energy (no corrections) in meV per atom: -3519
Space group: No. 8
Raw total energy in eV/cell: -68.290
Magnetization in Bohr magnetons per cell: 1.039

POSCAR file:
```
Ce2InF8
1.0
3.614 -5.588 0.000
3.614 5.588 0.000
-0.618 0.000 4.448
Ce In F
2 1 8
Cartesian
3.614 3.631 0.000
3.614 -3.631 0.000
3.205 0.000 2.528
0.559 0.000 1.154
1.661 1.634 4.131
3.283 3.040 2.212
1.661 -1.634 4.131
4.944 1.654 0.225
3.283 -3.040 2.212
4.944 -1.654 0.225
6.069 0.000 3.297
```

---

The following is a DFT calculation (GGA-PBE) of a relaxed structure of TcPdSe2.

Energy above the lowest structure with this stoichiometry in eV/f.u.: 0.00
Formation energy (no corrections) in meV per atom: -89
Space group: No. 166
Raw total energy in eV/cell: -22.882
Magnetization in Bohr magnetons per cell: 0.000

POSCAR file:
```
TcPdSe2
1.0
1.598 0.922 8.350
-1.598 0.922 8.350
0.000 -1.845 8.350
Tc Pd Se
1 1 2
Cartesian
0.000 0.000 0.000
0.000 0.000 12.524
0.000 0.000 10.096
0.000 0.000 14.952
```